First-principles (PBE) data for a relaxed TbErGa6 crystal, as listed in Alexandria via LeMat-Bulk.

Properties
ρ   8.0 g/cm³
DFT total energy   -0.1450 hartree per atom
D(E_F)   3.27 states/eV per cell
Formation energy from the elements   -0.53 eV per atom
SG   No. 187

Geometry as POSCAR:
```
TbErGa6
1.0
-3.608 -2.543 1.268
3.754 -4.921 0.814
-1.091 3.911 4.742
Er Ga Tb
1 6 1
direct
0.000 0.083 0.917
0.500 0.898 0.102
0.500 0.898 0.546
0.500 0.454 0.102
0.000 0.603 0.956
0.000 0.044 0.397
0.000 0.603 0.397
0.500 0.416 0.584
```

First-principles (PBE) data for a relaxed Tb4ErGa crystal, as listed in Alexandria via LeMat-Bulk.

Properties
ρ   8.2 g/cm³
DFT total energy   -0.1636 hartree per atom
D(E_F)   15.33 states/eV per cell
Formation energy from the elements   -0.10 eV per atom
SG   No. 15

Geometry as POSCAR:
```
Tb4ErGa
1.0
6.228 -0.715 0.000
-2.545 8.672 0.000
-1.841 -3.978 6.761
Tb Er Ga
8 2 2
direct
0.957 0.836 0.228
0.229 0.608 0.772
0.043 0.164 0.772
0.372 0.918 0.635
0.237 0.282 0.365
0.763 0.718 0.635
0.771 0.392 0.228
0.628 0.082 0.365
0.656 0.406 0.811
0.344 0.594 0.189
0.250 0.000 0.999
0.750 0.000 0.001
```

First-principles (PBE) data for a relaxed Tb2Er2Ga crystal, as listed in Alexandria via LeMat-Bulk.

Properties
ρ   7.8 g/cm³
DFT total energy   -0.1460 hartree per atom
D(E_F)   6.20 states/eV per cell
Formation energy from the elements   0.31 eV per atom
SG   No. 139

Geometry as POSCAR:
```
Tb2Er2Ga
1.0
-3.673 0.108 -2.024
-1.402 -3.160 2.376
-0.502 7.252 5.645
Tb Er Ga
2 2 1
direct
0.413 0.413 0.825
0.587 0.587 0.175
0.750 0.250 0.500
0.250 0.750 0.500
0.000 0.000 0.000
```

First-principles (PBE) data for a relaxed TbEr5Ga6 crystal, as listed in Alexandria via LeMat-Bulk.

Properties
ρ   8.8 g/cm³
DFT total energy   -0.1609 hartree per atom
D(E_F)   4.32 states/eV per cell
Formation energy from the elements   -0.58 eV per atom
SG   No. 65

Geometry as POSCAR:
```
TbEr5Ga6
1.0
4.760 -0.028 1.586
0.038 7.082 0.013
0.000 -0.014 7.934
Tb Ga Er
1 6 5
direct
0.000 0.000 0.000
0.500 0.748 0.000
0.500 0.252 0.000
0.832 0.748 0.335
0.168 0.252 0.665
0.832 0.252 0.335
0.168 0.748 0.665
0.667 0.000 0.666
0.666 0.500 0.669
0.334 0.500 0.331
0.333 0.000 0.334
0.000 0.500 0.000
```

First-principles (PBE) data for a relaxed TbErGa crystal, as listed in Alexandria via LeMat-Bulk.

Properties
ρ   7.7 g/cm³
DFT total energy   -0.1588 hartree per atom
E above lowest polymorph   0.154 eV/atom
D(E_F)   4.53 states/eV per cell
Formation energy from the elements   -0.25 eV per atom
SG   No. 216

Geometry as POSCAR:
```
TbErGa
1.0
-2.423 -3.348 -2.720
1.576 -4.688 -0.132
-2.628 -3.556 2.219
Tb Er Ga
1 1 1
direct
0.500 0.500 0.500
0.000 0.000 0.000
0.250 0.250 0.250
```

First-principles (PBE) data for a relaxed Tb3ErGa2 crystal, as listed in Alexandria via LeMat-Bulk.

Properties
ρ   8.4 g/cm³
DFT total energy   -0.1657 hartree per atom
E above lowest polymorph   0.000 eV/atom
D(E_F)   10.89 states/eV per cell
Formation energy from the elements   -0.43 eV per atom
SG   No. 26

Geometry as POSCAR:
```
Tb3ErGa2
1.0
4.981 0.000 0.000
0.000 6.541 0.000
0.000 0.000 9.465
Ga Tb Er
4 6 2
direct
0.000 0.793 0.357
0.000 0.293 0.643
0.500 0.208 0.144
0.500 0.708 0.856
0.500 0.178 0.820
0.500 0.678 0.180
0.000 0.470 0.953
0.000 0.970 0.047
0.000 0.821 0.675
0.000 0.321 0.325
0.500 0.030 0.451
0.500 0.530 0.549
```

First-principles (PBE) data for a relaxed TbEr4Ga4 crystal, as listed in Alexandria via LeMat-Bulk.

Properties
ρ   7.7 g/cm³
DFT total energy   -0.1559 hartree per atom
D(E_F)   12.95 states/eV per cell
Formation energy from the elements   -0.35 eV per atom
SG   No. 86

Geometry as POSCAR:
```
TbEr4Ga4
1.0
5.889 0.000 0.000
0.000 9.023 0.000
0.000 0.000 9.023
Ga Tb Er
8 2 8
direct
0.630 0.775 0.367
0.370 0.367 0.225
0.870 0.725 0.133
0.130 0.133 0.275
0.370 0.633 0.775
0.870 0.275 0.867
0.630 0.225 0.633
0.130 0.867 0.725
0.000 0.000 0.000
0.500 0.500 0.500
0.880 0.593 0.821
0.620 0.093 0.321
0.380 0.321 0.907
0.380 0.679 0.093
0.620 0.907 0.679
0.120 0.821 0.407
0.120 0.179 0.593
0.880 0.407 0.179
```

First-principles (PBE) data for a relaxed TbErGa4 crystal, as listed in Alexandria via LeMat-Bulk.

Properties
ρ   8.5 g/cm³
DFT total energy   -0.1506 hartree per atom
E above lowest polymorph   0.087 eV/atom
D(E_F)   3.73 states/eV per cell
Formation energy from the elements   -0.55 eV per atom
SG   No. 216

Geometry as POSCAR:
```
TbErGa4
1.0
-4.664 -2.721 1.046
-0.136 -3.798 3.976
-2.774 0.981 4.647
Ga Tb Er
4 1 1
direct
0.625 0.625 0.625
0.125 0.625 0.625
0.625 0.625 0.125
0.625 0.125 0.625
0.250 0.250 0.250
0.000 0.000 0.000
```

First-principles (PBE) data for a relaxed Tb3Er3Ga4 crystal, as listed in Alexandria via LeMat-Bulk.

Properties
ρ   8.3 g/cm³
DFT total energy   -0.1652 hartree per atom
D(E_F)   11.48 states/eV per cell
Formation energy from the elements   -0.53 eV per atom
SG   No. 38

Geometry as POSCAR:
```
Tb3Er3Ga4
1.0
4.317 0.000 0.000
0.000 7.632 -0.016
0.000 0.051 7.631
Er Tb Ga
3 3 4
direct
0.000 0.000 0.501
0.500 0.175 0.825
0.000 0.499 0.000
0.500 0.325 0.326
0.500 0.826 0.174
0.500 0.674 0.675
0.000 0.881 0.879
0.000 0.620 0.380
0.000 0.121 0.119
0.000 0.378 0.622
```

First-principles (PBE) data for a relaxed TbEr3Ga4 crystal, as listed in Alexandria via LeMat-Bulk.

Properties
ρ   8.7 g/cm³
DFT total energy   -0.1610 hartree per atom
E above lowest polymorph   0.000 eV/atom
D(E_F)   6.23 states/eV per cell
Formation energy from the elements   -0.58 eV per atom
SG   No. 51

Geometry as POSCAR:
```
TbEr3Ga4
1.0
5.030 0.000 0.000
0.000 7.080 0.000
0.000 0.000 10.061
Er Tb Ga
6 2 8
direct
0.502 0.500 0.750
0.502 0.000 0.750
0.000 0.000 0.500
0.498 0.000 0.250
0.000 0.000 0.000
0.498 0.500 0.250
0.000 0.500 0.500
0.000 0.500 0.000
0.500 0.247 0.000
0.500 0.753 0.500
0.500 0.247 0.500
0.003 0.753 0.750
0.997 0.247 0.250
0.997 0.753 0.250
0.500 0.753 0.000
0.003 0.247 0.750
```

First-principles (PBE) data for a relaxed TbErGa crystal, as listed in Alexandria via LeMat-Bulk.

Properties
ρ   8.4 g/cm³
DFT total energy   -0.1636 hartree per atom
E above lowest polymorph   0.025 eV/atom
D(E_F)   2.20 states/eV per cell
Formation energy from the elements   -0.38 eV per atom
SG   No. 107

Geometry as POSCAR:
```
TbErGa
1.0
3.460 0.000 0.000
0.000 3.460 0.000
-1.730 -1.730 6.514
Er Ga Tb
1 1 1
direct
0.262 0.262 0.524
0.618 0.618 0.237
0.970 0.970 0.940
```

First-principles (PBE) data for a relaxed Tb2ErGa crystal, as listed in Alexandria via LeMat-Bulk.

Properties
ρ   8.3 g/cm³
DFT total energy   -0.1650 hartree per atom
E above lowest polymorph   0.000 eV/atom
D(E_F)   11.05 states/eV per cell
Formation energy from the elements   -0.28 eV per atom
SG   No. 63

Geometry as POSCAR:
```
Tb2ErGa
1.0
-3.468 0.525 -0.961
1.767 -5.806 -2.667
-2.894 -4.537 7.961
Er Tb Ga
2 4 2
direct
0.055 0.110 0.750
0.945 0.890 0.250
0.634 0.270 0.049
0.366 0.730 0.549
0.366 0.730 0.951
0.634 0.270 0.451
0.743 0.485 0.750
0.257 0.515 0.250
```

First-principles (PBE) data for a relaxed Tb2ErGa crystal, as listed in Alexandria via LeMat-Bulk.

Properties
ρ   7.5 g/cm³
DFT total energy   -0.1496 hartree per atom
E above lowest polymorph   0.417 eV/atom
D(E_F)   4.16 states/eV per cell
Formation energy from the elements   0.14 eV per atom
SG   No. 166

Geometry as POSCAR:
```
Tb2ErGa
1.0
-0.775 -0.543 -3.348
-3.026 -1.482 -0.867
-6.255 9.833 -1.954
Er Tb Ga
1 2 1
direct
0.500 0.500 0.500
0.914 0.914 0.258
0.086 0.086 0.742
0.000 0.000 0.000
```

First-principles (PBE) data for a relaxed Tb2ErGa crystal, as listed in Alexandria via LeMat-Bulk.

Properties
ρ   8.0 g/cm³
DFT total energy   -0.1618 hartree per atom
E above lowest polymorph   0.086 eV/atom
D(E_F)   3.82 states/eV per cell
Formation energy from the elements   -0.19 eV per atom
SG   No. 160

Geometry as POSCAR:
```
Tb2ErGa
1.0
3.615 0.000 0.000
1.807 3.130 0.000
1.807 1.043 10.171
Ga Tb Er
1 2 1
direct
0.666 0.666 0.001
0.262 0.262 0.215
0.072 0.072 0.785
0.500 0.500 0.499
```

First-principles (PBE) data for a relaxed TbErGa4 crystal, as listed in Alexandria via LeMat-Bulk.

Properties
ρ   8.3 g/cm³
DFT total energy   -0.1535 hartree per atom
E above lowest polymorph   0.007 eV/atom
D(E_F)   3.22 states/eV per cell
Formation energy from the elements   -0.63 eV per atom
SG   No. 44

Geometry as POSCAR:
```
TbErGa4
1.0
3.906 0.000 1.674
1.710 5.353 1.403
-0.167 0.272 5.783
Tb Er Ga
1 1 4
direct
0.440 0.060 0.060
0.561 0.439 0.439
0.161 0.639 0.039
0.161 0.039 0.639
0.838 0.859 0.465
0.838 0.465 0.859
```

First-principles (PBE) data for a relaxed Tb2ErGa crystal, as listed in Alexandria via LeMat-Bulk.

Properties
ρ   8.4 g/cm³
DFT total energy   -0.1646 hartree per atom
E above lowest polymorph   0.010 eV/atom
D(E_F)   4.55 states/eV per cell
Formation energy from the elements   -0.27 eV per atom
SG   No. 123

Geometry as POSCAR:
```
Tb2ErGa
1.0
-2.580 -2.061 -1.218
2.137 -2.789 0.193
-2.725 -1.513 8.330
Tb Er Ga
2 1 1
direct
0.000 0.000 0.211
0.000 0.000 0.789
0.500 0.500 0.500
0.500 0.500 0.000
```

First-principles (PBE) data for a relaxed TbErGa crystal, as listed in Alexandria via LeMat-Bulk.

Properties
ρ   8.5 g/cm³
DFT total energy   -0.1598 hartree per atom
E above lowest polymorph   0.128 eV/atom
D(E_F)   1.63 states/eV per cell
Formation energy from the elements   -0.28 eV per atom
SG   No. 156

Geometry as POSCAR:
```
TbErGa
1.0
3.641 0.000 0.000
0.000 4.955 0.000
0.000 -2.477 4.291
Tb Ga Er
1 1 1
direct
0.614 0.667 0.333
0.308 0.333 0.667
0.078 0.000 0.000
```

First-principles (PBE) data for a relaxed TbEr3Ga3 crystal, as listed in Alexandria via LeMat-Bulk.

Properties
ρ   8.5 g/cm³
DFT total energy   -0.1597 hartree per atom
D(E_F)   9.28 states/eV per cell
Formation energy from the elements   -0.43 eV per atom
SG   No. 176

Geometry as POSCAR:
```
TbEr3Ga3
1.0
-3.093 -2.488 2.642
6.772 -5.212 3.020
-2.250 7.552 4.478
Er Tb Ga
6 2 6
direct
0.750 0.762 0.747
0.750 0.985 0.238
0.250 0.015 0.762
0.750 0.253 0.015
0.250 0.238 0.253
0.250 0.747 0.985
0.750 0.333 0.667
0.250 0.667 0.333
0.750 0.450 0.391
0.250 0.391 0.941
0.750 0.941 0.550
0.250 0.059 0.450
0.750 0.609 0.059
0.250 0.550 0.609
```

First-principles (PBE) data for a relaxed Tb2Er3Ga4 crystal, as listed in Alexandria via LeMat-Bulk.

Properties
ρ   8.1 g/cm³
DFT total energy   -0.1582 hartree per atom
E above lowest polymorph   0.175 eV/atom
D(E_F)   10.83 states/eV per cell
Formation energy from the elements   -0.41 eV per atom
SG   No. 64

Geometry as POSCAR:
```
Tb2Er3Ga4
1.0
6.821 0.000 0.000
0.000 8.548 0.000
-3.410 0.000 7.745
Er Tb Ga
6 4 8
direct
0.463 0.250 0.426
0.500 0.500 0.000
0.537 0.750 0.574
0.000 0.000 0.000
0.037 0.750 0.574
0.963 0.250 0.426
0.108 0.581 0.216
0.892 0.419 0.784
0.608 0.919 0.216
0.392 0.081 0.784
0.723 0.750 0.946
0.811 0.041 0.623
0.777 0.250 0.054
0.189 0.959 0.377
0.311 0.459 0.623
0.277 0.250 0.054
0.689 0.541 0.377
0.223 0.750 0.946
```

First-principles (PBE) data for a relaxed TbEr3Ga2 crystal, as listed in Alexandria via LeMat-Bulk.

Properties
ρ   8.8 g/cm³
DFT total energy   -0.1651 hartree per atom
E above lowest polymorph   0.000 eV/atom
D(E_F)   10.41 states/eV per cell
Formation energy from the elements   -0.43 eV per atom
SG   No. 26

Geometry as POSCAR:
```
TbEr3Ga2
1.0
4.895 0.000 0.000
0.000 6.581 0.000
0.000 0.000 9.409
Er Tb Ga
6 2 4
direct
0.000 0.330 0.316
0.000 0.830 0.684
0.500 0.670 0.179
0.000 0.963 0.051
0.000 0.463 0.949
0.500 0.170 0.821
0.500 0.037 0.451
0.500 0.537 0.549
0.000 0.787 0.361
0.500 0.212 0.138
0.500 0.712 0.862
0.000 0.287 0.639
```

First-principles (PBE) data for a relaxed TbEr2Ga6 crystal, as listed in Alexandria via LeMat-Bulk.

Properties
ρ   8.3 g/cm³
DFT total energy   -0.1531 hartree per atom
E above lowest polymorph   0.000 eV/atom
D(E_F)   3.49 states/eV per cell
Formation energy from the elements   -0.62 eV per atom
SG   No. 191

Geometry as POSCAR:
```
TbEr2Ga6
1.0
3.797 0.000 0.000
0.000 6.461 -3.730
0.000 0.000 7.460
Ga Er Tb
6 2 1
direct
0.500 0.666 0.666
0.500 0.000 0.666
0.500 0.334 0.000
0.500 0.666 0.000
0.500 0.334 0.334
0.500 0.000 0.334
0.000 0.333 0.667
0.000 0.667 0.333
0.000 0.000 0.000
```

First-principles (PBE) data for a relaxed Tb2ErGa crystal, as listed in Alexandria via LeMat-Bulk.

Properties
ρ   8.7 g/cm³
DFT total energy   -0.1581 hartree per atom
E above lowest polymorph   0.188 eV/atom
D(E_F)   6.70 states/eV per cell
Formation energy from the elements   -0.09 eV per atom
SG   No. 225

Geometry as POSCAR:
```
Tb2ErGa
1.0
5.316 0.000 0.000
2.658 4.603 0.000
2.658 1.534 4.340
Tb Er Ga
2 1 1
direct
0.250 0.250 0.250
0.750 0.750 0.750
0.000 0.000 0.000
0.500 0.500 0.500
```

First-principles (PBE) data for a relaxed Tb2ErGa6 crystal, as listed in Alexandria via LeMat-Bulk.

Properties
ρ   7.5 g/cm³
DFT total energy   -0.1472 hartree per atom
E above lowest polymorph   0.182 eV/atom
D(E_F)   4.91 states/eV per cell
Formation energy from the elements   -0.45 eV per atom
SG   No. 71

Geometry as POSCAR:
```
Tb2ErGa6
1.0
4.307 0.000 0.000
0.000 6.955 0.000
-2.153 -3.478 6.703
Er Tb Ga
1 2 6
direct
0.000 0.500 0.000
0.874 0.874 0.748
0.126 0.126 0.252
0.316 0.508 0.633
0.500 0.808 0.000
0.500 0.192 0.000
0.684 0.492 0.367
0.316 0.125 0.633
0.684 0.875 0.367
```